Here is an optimized crystal structure of TiCuSnPd from Alexandria. Energies are from PBE.

a b c (Å): 6.389 6.389 6.389
angles (deg): 90.00 90.00 90.00
Space group F-43m (No. 216)
Inequivalent atoms, fractional coordinates:
Ti: 0.000 0.000 0.000 (multiplicity 4)
Cu: 0.250 0.250 0.750 (multiplicity 4)
Sn: 0.000 0.000 0.500 (multiplicity 4)
Pd: 0.250 0.250 0.250 (multiplicity 4)

Calculated values
- E: -5.655 eV/atom
- Formation enthalpy at 0 K: -0.358 eV/atom


Here is an optimized crystal structure of HoSi2Pd5 from Alexandria. Energies are from PBE.

a b c (Å): 3.844 7.072 9.772
angles (deg): 90.00 90.00 90.00
Space group Immm (No. 71)
Inequivalent atoms, fractional coordinates:
Ho: 0.000 0.000 0.000 (multiplicity 2)
Si: 0.000 0.500 0.246 (multiplicity 4)
Pd: 0.000 0.200 0.351 (multiplicity 8)
Pd: 0.000 0.500 0.000 (multiplicity 2)

Calculated values
- E: -5.946 eV/atom
- E_form (uncorrected): -596 kJ/mol of formula units


Here is an optimized crystal structure of ZrNp2Rh5 from Alexandria. Energies are from PBE.

a b c (Å): 5.759 11.214 4.390
angles (deg): 90.00 90.00 90.00
Space group Pbam (No. 55)
Inequivalent atoms, fractional coordinates:
Zr: 0.000 0.000 0.000 (multiplicity 2)
Np: 0.157 0.355 0.500 (multiplicity 4)
Rh: 0.000 0.500 0.000 (multiplicity 2)
Rh: 0.112 0.754 0.000 (multiplicity 4)
Rh: 0.180 0.107 0.500 (multiplicity 4)

Calculated values
- E: -9.352 eV/atom
- Formation enthalpy at 0 K: -0.454 eV/atom


Here is an optimized crystal structure of RbSbTe2S from Alexandria. Energies are from PBE.

a b c (Å): 5.535 5.535 5.400
angles (deg): 90.00 90.00 90.00
Space group P4/mmm (No. 123)
Inequivalent atoms, fractional coordinates:
Rb: 0.000 0.000 0.000 (multiplicity 1)
Sb: 0.500 0.500 0.000 (multiplicity 1)
Te: 0.000 0.500 0.500 (multiplicity 2)
S: 0.500 0.500 0.500 (multiplicity 1)

Calculated values
- E: -3.078 eV/atom
- E_form (uncorrected): 10 kJ/mol of formula units


What is the E in the second record?
-5.946 eV/atom